1.
DFT (GGA-PBE) results for a geometry-optimized SrPmZn structure.

The structure in POSCAR format:
```
SrPmZn
1.0
0.000 3.715 3.715
3.715 0.000 3.715
3.715 3.715 0.000
Sr Pm Zn
1 1 1
direct
0.000 0.000 0.000
0.500 0.500 0.500
0.750 0.750 0.750
```

Output
The value obtained for the total energy is -2.467 eV per atom. The space group is No. 216.

---

2.
DFT (GGA-PBE) results for a geometry-optimized Er3Lu4Te2Pd2 structure.

The structure in POSCAR format:
```
Er3Lu4Te2Pd2
1.0
-1.954 7.706 4.756
1.954 -7.706 4.756
1.954 7.706 -4.756
Er Lu Te Pd
3 4 2 2
direct
0.000 0.000 0.000
0.621 0.265 0.356
0.909 0.265 0.644
0.285 0.416 0.869
0.309 0.626 0.683
0.547 0.416 0.131
0.943 0.626 0.317
0.266 0.766 0.500
0.660 0.660 0.000
0.169 0.932 0.237
0.695 0.932 0.763
```

Output
The value obtained for the total energy is -5.254 eV per atom. The space group is No. 44.

---

3.
DFT (GGA-PBE) results for a geometry-optimized LuNiBi structure.

The structure in POSCAR format:
```
LuNiBi
1.0
7.123 0.000 0.000
-3.561 6.168 0.000
0.000 0.000 4.328
Lu Ni Bi
3 3 3
direct
0.000 0.572 0.000
0.428 0.428 0.000
0.572 0.000 0.000
0.000 0.252 0.500
0.252 0.000 0.500
0.748 0.748 0.500
0.000 0.000 0.000
0.333 0.667 0.500
0.667 0.333 0.500
```

Output
The value obtained for the total energy is -5.100 eV per atom. The space group is No. 189.

---

4.
DFT (GGA-PBE) results for a geometry-optimized YUAl structure.

The structure in POSCAR format:
```
YUAl
1.0
0.000 3.516 3.516
3.516 0.000 3.516
3.516 3.516 0.000
Y U Al
1 1 1
direct
0.000 0.000 0.000
0.500 0.500 0.500
0.750 0.750 0.750
```

Output
The value obtained for the total energy is -6.565 eV per atom. The space group is No. 216.

---

5.
DFT (GGA-PBE) results for a geometry-optimized ZnMo structure.

The structure in POSCAR format:
```
ZnMo
1.0
4.505 0.000 0.000
0.000 11.922 0.000
0.000 0.000 4.505
Zn Mo
8 8
direct
0.250 0.129 0.245
0.250 0.250 0.744
0.250 0.371 0.245
0.250 0.750 0.746
0.750 0.250 0.254
0.750 0.629 0.755
0.750 0.750 0.256
0.750 0.871 0.755
0.250 0.000 0.748
0.250 0.500 0.748
0.250 0.619 0.247
0.250 0.881 0.247
0.750 0.000 0.252
0.750 0.119 0.753
0.750 0.381 0.753
0.750 0.500 0.252
```

Output
The value obtained for the formation energy from the elements is 60.6 meV per atom. The space group is No. 59.

---

6.
DFT (GGA-PBE) results for a geometry-optimized ErLu2Al7Ag2 structure.

The structure in POSCAR format:
```
ErLu2Al7Ag2
1.0
2.749 1.587 8.708
-2.749 1.587 8.708
0.000 -3.174 8.708
Er Lu Al Ag
1 2 7 2
direct
0.000 0.000 0.000
0.143 0.143 0.143
0.857 0.857 0.857
0.076 0.588 0.588
0.412 0.412 0.924
0.412 0.924 0.412
0.500 0.500 0.500
0.588 0.076 0.588
0.588 0.588 0.076
0.924 0.412 0.412
0.336 0.336 0.336
0.664 0.664 0.664
```

Output
The value obtained for the total energy is -4.212 eV per atom. The space group is No. 166.

---

7.
DFT (GGA-PBE) results for a geometry-optimized SmTcAs structure.

The structure in POSCAR format:
```
SmTcAs
1.0
0.000 3.220 3.220
3.220 0.000 3.220
3.220 3.220 0.000
Sm Tc As
1 1 1
direct
0.000 0.000 0.000
0.500 0.500 0.500
0.250 0.250 0.250
```

Output
The value obtained for the total energy is -6.703 eV per atom. The space group is No. 216.

---

8.
DFT (GGA-PBE) results for a geometry-optimized LiZrGeIr structure.

The structure in POSCAR format:
```
LiZrGeIr
1.0
0.000 3.143 3.143
3.143 0.000 3.143
3.143 3.143 0.000
Li Zr Ge Ir
1 1 1 1
direct
0.000 0.000 0.000
0.750 0.750 0.750
0.250 0.250 0.250
0.500 0.500 0.500
```

Output
The value obtained for the total energy is -6.732 eV per atom. The space group is No. 216.

---

9.
DFT (GGA-PBE) results for a geometry-optimized ScBeZnIn structure.

The structure in POSCAR format:
```
ScBeZnIn
1.0
0.000 3.225 3.225
3.225 0.000 3.225
3.225 3.225 0.000
Sc Be Zn In
1 1 1 1
direct
0.000 0.000 0.000
0.250 0.250 0.250
0.750 0.750 0.750
0.500 0.500 0.500
```

Output
The value obtained for the total energy is -3.551 eV per atom. The space group is No. 216.

---

10.
DFT (GGA-PBE) results for a geometry-optimized BeTePdO structure.

The structure in POSCAR format:
```
BeTePdO
1.0
4.757 0.000 0.000
0.000 6.957 0.000
0.000 0.000 8.483
Be Te Pd O
4 4 4 4
direct
0.030 0.204 0.053
0.470 0.796 0.553
0.530 0.296 0.947
0.970 0.704 0.447
0.224 0.919 0.793
0.276 0.081 0.293
0.724 0.581 0.207
0.776 0.419 0.707
0.022 0.624 0.936
0.478 0.376 0.436
0.522 0.876 0.064
0.978 0.124 0.564
0.231 0.344 0.979
0.269 0.656 0.479
0.731 0.156 0.021
0.769 0.844 0.521
```

Output
The value obtained for the total energy is -5.122 eV per atom. The space group is No. 19.

---

11.
DFT (GGA-PBE) results for a geometry-optimized Er2Al5Ga structure.

The structure in POSCAR format:
```
Er2Al5Ga
1.0
4.585 0.000 0.000
0.000 3.110 5.403
0.000 -3.110 5.403
Er Al Ga
2 5 1
direct
0.000 0.000 0.000
0.500 0.335 0.335
0.000 0.518 0.963
0.000 0.519 0.519
0.000 0.963 0.518
0.500 0.373 0.816
0.500 0.816 0.373
0.500 0.816 0.816
```

Output
The value obtained for the total energy is -4.290 eV per atom. The space group is No. 38.

---

12.
DFT (GGA-PBE) results for a geometry-optimized Li4GaSiIr2 structure.

The structure in POSCAR format:
```
Li4GaSiIr2
1.0
4.167 0.000 0.000
0.000 4.167 0.000
0.000 0.000 5.893
Li Ga Si Ir
4 1 1 2
direct
0.000 0.000 0.000
0.000 0.500 0.749
0.500 0.000 0.251
0.500 0.500 0.500
0.500 0.500 0.000
0.000 0.000 0.500
0.000 0.500 0.269
0.500 0.000 0.731
```

Output
The value obtained for the total energy is -4.715 eV per atom. The space group is No. 115.